Computed, not measured: crystalline Ca2Cu3NiGe4 at its relaxed geometry at the PBE level of DFT.

Geometry as CIF:
```
data_Ca2Cu3NiGe4
_chemical_formula_sum 'Ca2 Cu3 Ni1 Ge4'
_cell_length_a 4.185
_cell_length_b 4.185
_cell_length_c 9.998
_cell_angle_alpha 90.00
_cell_angle_beta 90.00
_cell_angle_gamma 90.00
_symmetry_space_group_name_H-M 'P -4 m 2'
_symmetry_Int_Tables_number 115
loop_
_symmetry_equiv_pos_as_xyz
'x,y,z'
'y,-x,-z'
'-x,-y,z'
'-y,x,-z'
'-x,y,z'
'-y,-x,-z'
'x,-y,z'
'y,x,-z'
loop_
_atom_site_label
_atom_site_fract_x
_atom_site_fract_y
_atom_site_fract_z
_atom_site_occupancy
Ca1 0.000 0.500 0.244 1
Cu1 0.000 0.000 0.000 1
Cu2 0.000 0.500 0.636 1
Ni1 0.500 0.500 0.000 1
Ge1 0.000 0.000 0.500 1
Ge2 0.000 0.500 0.877 1
Ge3 0.500 0.500 0.500 1
```

Output
**Crystal system**: tetragonal
**E_form**: -381 meV per atom
**M_tot**: 0.00 μB/cell



Computed, not measured: crystalline Ca2CuGeO5 at its relaxed geometry at the PBE level of DFT.

Geometry as CIF:
```
data_Ca2CuGeO5
_chemical_formula_sum 'Ca8 Cu4 Ge4 O20'
_cell_length_a 3.205
_cell_length_b 13.346
_cell_length_c 10.426
_cell_angle_alpha 90.00
_cell_angle_beta 90.00
_cell_angle_gamma 90.00
_symmetry_space_group_name_H-M 'C m c 21'
_symmetry_Int_Tables_number 36
loop_
_symmetry_equiv_pos_as_xyz
'x,y,z'
'-x,-y,z+1/2'
'-x,y,z'
'x,-y,z+1/2'
'x+1/2,y+1/2,z'
'-x+1/2,-y+1/2,z+1/2'
'-x+1/2,y+1/2,z'
'x+1/2,-y+1/2,z+1/2'
loop_
_atom_site_label
_atom_site_fract_x
_atom_site_fract_y
_atom_site_fract_z
_atom_site_occupancy
Ca1 0.000 0.100 0.000 1
Ca2 0.000 0.157 0.662 1
Cu1 0.000 0.213 0.392 1
Ge1 0.000 0.462 0.786 1
O1 0.000 0.048 0.376 1
O2 0.000 0.272 0.019 1
O3 0.000 0.317 0.770 1
O4 0.000 0.396 0.327 1
O5 0.000 0.490 0.619 1
```

Output
**Crystal system**: orthorhombic
**M_tot**: 3.95 μB/cell
**Raw formation energy**: -1697 kJ/mol of formula units



Which value of M_tot does entry 1 give? 0.00 μB/cell